First-principles (PBE-GGA) data for crystalline CaSc3S at its relaxed geometry, as listed in Alexandria.

## Properties
- ΔE to the lowest computed polymorph: 1792 meV/atom
- Formation energy (no corrections): 1.227 eV per atom
- SG: Pm-3m, No. 221
- Magnetization: 0.000 μB per formula unit
- Raw total energy: -19.0 eV/cell

a b c (Å): 5.1681 5.1681 5.1681
angles (deg): 90.00 90.00 90.00
Closest atoms and distances in Å follow each position.
Sites, in units of the cell vectors:
1 S 0.5000 0.5000 0.5000  12 Sc 3.65
2 Ca 0.0000 0.0000 0.0000  6 Sc 2.58
3 Sc 0.5000 0.0000 0.0000  2 Ca 2.58
4 Sc 0.0000 0.0000 0.5000  2 Ca 2.58
5 Sc 0.0000 0.5000 0.0000  2 Ca 2.58

First-principles (PBE-GGA) data for crystalline Ca2ScS at its relaxed geometry, as listed in Alexandria.

## Properties
- Formation energy (no corrections): -0.596 eV per atom
- SG: I-42d, No. 122
- Magnetization: 0.572 μB per formula unit
- Raw total energy: -33.7 eV/cell

a b c (Å): 9.9657 9.9657 7.4738
angles (deg): 48.19 48.19 90.00
Closest atoms and distances in Å follow each position.
Sites, in units of the cell vectors:
1 Ca 0.3750 0.5061 0.7500  2 S 2.83
2 S 0.5000 0.5000 0.0000  2 Sc 2.49
3 Ca 0.8750 0.7439 0.7500  2 S 2.83
4 S 0.2500 0.7500 0.5000  2 Sc 2.49
5 Ca 0.2561 0.6250 0.2500  2 S 2.83
6 Ca 0.4939 0.1250 0.2500  2 S 2.83
7 Sc 0.7500 0.2500 0.5000  2 S 2.49
8 Sc 0.0000 0.0000 0.0000  2 S 2.49

First-principles (PBE-GGA) data for crystalline CaSc3S at its relaxed geometry, as listed in Alexandria.

## Properties
- ΔE to the lowest computed polymorph: 0 meV/atom
- Formation energy (no corrections): -0.566 eV per atom
- SG: Pm-3m, No. 221
- Magnetization: 0.024 μB per formula unit
- Raw total energy: -28.0 eV/cell

a b c (Å): 5.0287 5.0287 5.0287
angles (deg): 90.00 90.00 90.00
Closest atoms and distances in Å follow each position.
Sites, in units of the cell vectors:
1 S 0.0000 0.0000 0.0000  6 Sc 2.51
2 Ca 0.5000 0.5000 0.5000  12 Sc 3.56
3 Sc 0.0000 0.0000 0.5000  2 S 2.51
4 Sc 0.5000 0.0000 0.0000  2 S 2.51
5 Sc 0.0000 0.5000 0.0000  2 S 2.51

First-principles (PBE-GGA) data for crystalline Ca3ScS4 at its relaxed geometry, as listed in Alexandria.

## Properties
- Formation energy (no corrections): -2.039 eV per atom
- SG: Cmmm, No. 65
- Magnetization: 0.000 μB per formula unit
- Raw total energy: -45.2 eV/cell

a b c (Å): 3.9217 6.8283 6.8283
angles (deg): 109.25 90.00 90.00
Closest atoms and distances in Å follow each position.
Sites, in units of the cell vectors:
1 Ca 0.0000 0.0000 0.5000  6 S 2.79
2 S 0.5000 0.7585 0.2415  1 Sc 2.69, 5 Ca 2.79-2.88
3 S 0.5000 0.2415 0.7585  1 Sc 2.69, 5 Ca 2.79-2.88
4 S 0.0000 0.7646 0.7646  2 Sc 2.70, 4 Ca 2.79-2.87
5 S 0.0000 0.2354 0.2354  2 Sc 2.70, 4 Ca 2.79-2.87
6 Sc 0.5000 0.0000 0.0000  6 S 2.69-2.70
7 Ca 0.5000 0.5000 0.5000  6 S 2.87-2.88
8 Ca 0.0000 0.5000 0.0000  6 S 2.79

First-principles (PBE-GGA) data for crystalline CaSc3S4 at its relaxed geometry, as listed in Alexandria.

## Properties
- Formation energy (no corrections): -1.904 eV per atom
- SG: Cmmm, No. 65
- Magnetization: 0.000 μB per formula unit
- Raw total energy: -52.7 eV/cell

a b c (Å): 3.7463 6.5297 6.5297
angles (deg): 70.91 90.00 90.00
Closest atoms and distances in Å follow each position.
Sites, in units of the cell vectors:
1 S 0.4999 0.2446 0.7445  5 Sc 2.60-2.66, 1 Ca 2.72
2 Ca 0.5000 0.5001 0.9999  6 S 2.72-2.73
3 Sc 0.9999 0.0001 0.0000  6 S 2.66
4 Sc 0.5000 0.0002 0.4999  6 S 2.60
5 S 0.5000 0.7556 0.2555  5 Sc 2.60-2.66, 1 Ca 2.72
6 Sc 0.0000 0.5001 0.5000  6 S 2.66
7 S 0.0000 0.2384 0.2616  4 Sc 2.60-2.66, 2 Ca 2.73
8 S 0.0000 0.7618 0.7382  4 Sc 2.60-2.66, 2 Ca 2.73

First-principles (PBE-GGA) data for crystalline CaSc2S at its relaxed geometry, as listed in Alexandria.

## Properties
- Formation energy (no corrections): -0.743 eV per atom
- SG: R-3m, No. 166
- Magnetization: 0.000 μB per formula unit
- Raw total energy: -21.8 eV/cell

a b c (Å): 9.5363 9.5363 9.5363
angles (deg): 21.61 21.61 21.61
Closest atoms and distances in Å follow each position.
Sites, in units of the cell vectors:
1 Sc 0.1152 0.1152 0.1152  3 S 2.52
2 Ca 0.0000 0.0000 0.0000  2 Sc 3.22, 6 Ca 3.58
3 S 0.5000 0.5000 0.5000  6 Sc 2.52
4 Sc 0.8848 0.8848 0.8848  3 S 2.52

First-principles (PBE-GGA) data for crystalline CaSc2S2 at its relaxed geometry, as listed in Alexandria.

## Properties
- ΔE to the lowest computed polymorph: 0 meV/atom
- Formation energy (no corrections): -1.237 eV per atom
- SG: P4/mbm, No. 127
- Magnetization: 0.002 μB per formula unit
- Raw total energy: -58.2 eV/cell

a b c (Å): 7.3275 7.3275 3.5783
angles (deg): 90.00 90.00 90.00
Closest atoms and distances in Å follow each position.
Sites, in units of the cell vectors:
1 Ca 0.5000 0.5000 0.0000  4 S 2.80
2 S 0.1472 0.3528 0.0000  6 Sc 2.78-2.81, 2 Ca 2.80, 1 S 3.05
3 S 0.3528 0.8528 0.0000  6 Sc 2.78-2.81, 2 Ca 2.80, 1 S 3.05
4 Sc 0.6477 0.8523 0.5000  6 S 2.78-2.81, 1 Sc 3.06
5 S 0.6472 0.1472 0.0000  6 Sc 2.78-2.81, 2 Ca 2.80, 1 S 3.05
6 Sc 0.3523 0.1477 0.5000  6 S 2.78-2.81, 1 Sc 3.06
7 S 0.8528 0.6472 0.0000  6 Sc 2.78-2.81, 2 Ca 2.80, 1 S 3.05
8 Ca 0.0000 0.0000 0.0000  4 S 2.80
9 Sc 0.8523 0.3523 0.5000  6 S 2.78-2.81, 1 Sc 3.06
10 Sc 0.1477 0.6477 0.5000  6 S 2.78-2.81, 1 Sc 3.06

First-principles (PBE-GGA) data for crystalline CaSc6S8 at its relaxed geometry, as listed in Alexandria.

## Properties
- Formation energy (no corrections): -1.734 eV per atom
- SG: R-3, No. 148
- Magnetization: 1.786 μB per formula unit
- Raw total energy: -99.0 eV/cell

a b c (Å): 7.1318 7.1318 7.1318
angles (deg): 93.90 93.90 93.90
Closest atoms and distances in Å follow each position.
Sites, in units of the cell vectors:
1 S 0.2357 0.2357 0.2357  3 Sc 2.55, 1 Ca 2.71
2 S 0.1423 0.7049 0.3835  4 Sc 2.50-2.67
3 Sc 0.8087 0.6078 0.4391  5 S 2.50-2.67
4 S 0.7049 0.3835 0.1423  4 Sc 2.50-2.67
5 Sc 0.4391 0.8087 0.6078  5 S 2.50-2.67
6 S 0.6165 0.8577 0.2951  4 Sc 2.50-2.67
7 S 0.3835 0.1423 0.7049  4 Sc 2.50-2.67
8 Sc 0.3922 0.5609 0.1913  5 S 2.50-2.67
9 Sc 0.1913 0.3922 0.5609  5 S 2.50-2.67
10 Ca 0.0000 0.0000 0.0000  2 S 2.71
11 Sc 0.5609 0.1913 0.3922  5 S 2.50-2.67
12 S 0.2951 0.6165 0.8577  4 Sc 2.50-2.67
13 S 0.8577 0.2951 0.6165  4 Sc 2.50-2.67
14 Sc 0.6078 0.4391 0.8087  5 S 2.50-2.67
15 S 0.7643 0.7643 0.7643  3 Sc 2.55, 1 Ca 2.71

First-principles (PBE-GGA) data for crystalline Ca3Sc5S12 at its relaxed geometry, as listed in Alexandria.

## Properties
- Formation energy (no corrections): -1.541 eV per atom
- SG: Ia-3d, No. 230
- Magnetization: 0.002 μB per formula unit
- Raw total energy: -472.1 eV/cell

a b c (Å): 13.5953 13.5953 13.5953
angles (deg): 109.47 109.47 109.47
Closest atoms and distances in Å follow each position.
Sites, in units of the cell vectors:
1 S 0.7861 0.4635 0.3805  2 Sc 2.42-2.59
2 S 0.3805 0.4170 0.0944  2 Sc 2.42-2.59
3 Sc 0.5000 0.0000 0.0000  6 S 2.59
4 Sc 0.7500 0.6250 0.3750  4 S 2.42
5 S 0.1774 0.0944 0.7139  2 Sc 2.42-2.59
6 S 0.1195 0.7139 0.5365  2 Sc 2.42-2.59
7 Sc 0.8750 0.6250 0.7500  4 S 2.42
8 Ca 0.1250 0.2500 0.8750  8 S 2.96-3.07
9 Sc 0.2500 0.8750 0.1250  4 S 2.42
10 Sc 0.1250 0.3750 0.2500  4 S 2.42
11 S 0.8805 0.5944 0.9170  2 Sc 2.42-2.59
12 Sc 0.0000 0.5000 0.5000  6 S 2.59
13 S 0.4170 0.0365 0.3226  2 Sc 2.42-2.59
14 Sc 0.3750 0.1250 0.7500  4 S 2.42
15 Sc 0.8750 0.2500 0.6250  4 S 2.42
16 S 0.0365 0.6195 0.7139  2 Sc 2.42-2.59
17 S 0.0830 0.1774 0.4635  2 Sc 2.42-2.59
18 S 0.6195 0.0365 0.2139  2 Sc 2.42-2.59
19 Ca 0.6250 0.3750 0.7500  8 S 2.96-3.07
20 S 0.3226 0.7861 0.4056  2 Sc 2.42-2.59
21 S 0.2861 0.8805 0.9635  2 Sc 2.42-2.59
22 S 0.6774 0.2139 0.5944  2 Sc 2.42-2.59
23 Ca 0.7500 0.3750 0.1250  8 S 2.96-3.07
24 Ca 0.1250 0.8750 0.7500  8 S 2.96-3.07
25 S 0.5944 0.8805 0.4170  2 Sc 2.42-2.59
26 S 0.5365 0.3226 0.9170  2 Sc 2.42-2.59
27 S 0.7139 0.5944 0.1774  2 Sc 2.42-2.59
28 S 0.0830 0.9056 0.1195  2 Sc 2.42-2.59
29 S 0.0944 0.9170 0.3805  2 Sc 2.42-2.59
30 S 0.9170 0.0944 0.8805  2 Sc 2.42-2.59
31 S 0.0365 0.4170 0.8226  2 Sc 2.42-2.59
32 S 0.4170 0.3805 0.5944  2 Sc 2.42-2.59
33 Ca 0.2500 0.6250 0.8750  8 S 2.96-3.07
34 S 0.4056 0.1195 0.5830  2 Sc 2.42-2.59
35 S 0.3805 0.9635 0.7861  2 Sc 2.42-2.59
36 S 0.8226 0.9170 0.0365  2 Sc 2.42-2.59
37 Ca 0.7500 0.8750 0.6250  8 S 2.96-3.07
38 S 0.4056 0.2861 0.3226  2 Sc 2.42-2.59
39 Ca 0.6250 0.2500 0.3750  8 S 2.96-3.07
40 S 0.9635 0.5830 0.1774  2 Sc 2.42-2.59
41 Sc 0.7500 0.1250 0.8750  4 S 2.42
42 S 0.7139 0.1195 0.0365  2 Sc 2.42-2.59
43 S 0.1774 0.0830 0.9635  2 Sc 2.42-2.59
44 S 0.8805 0.2861 0.4635  2 Sc 2.42-2.59
45 S 0.5365 0.2139 0.1195  2 Sc 2.42-2.59
46 S 0.8226 0.9056 0.2861  2 Sc 2.42-2.59
47 Sc 0.3750 0.2500 0.1250  4 S 2.42
48 Sc 0.5000 0.0000 0.5000  6 S 2.59
49 S 0.7861 0.3226 0.9056  2 Sc 2.42-2.59
50 S 0.4635 0.7861 0.8805  2 Sc 2.42-2.59
51 Sc 0.5000 0.5000 0.0000  6 S 2.59
52 Sc 0.0000 0.0000 0.0000  6 S 2.59
53 S 0.2861 0.4056 0.8226  2 Sc 2.42-2.59
54 S 0.9056 0.0830 0.6195  2 Sc 2.42-2.59
55 S 0.5944 0.7139 0.6774  2 Sc 2.42-2.59
56 Sc 0.6250 0.7500 0.8750  4 S 2.42
57 Ca 0.2500 0.1250 0.3750  8 S 2.96-3.07
58 Sc 0.0000 0.0000 0.5000  6 S 2.59
59 S 0.1195 0.4056 0.0830  2 Sc 2.42-2.59
60 S 0.6774 0.4635 0.5830  2 Sc 2.42-2.59
61 Sc 0.1250 0.7500 0.3750  4 S 2.42
62 Ca 0.3750 0.6250 0.2500  8 S 2.96-3.07
63 Sc 0.2500 0.3750 0.6250  4 S 2.42
64 Ca 0.8750 0.1250 0.2500  8 S 2.96-3.07
65 S 0.9635 0.3805 0.2861  2 Sc 2.42-2.59
66 S 0.2139 0.5365 0.6195  2 Sc 2.42-2.59
67 Sc 0.6250 0.8750 0.2500  4 S 2.42
68 S 0.9170 0.8226 0.5365  2 Sc 2.42-2.59
69 Ca 0.8750 0.7500 0.1250  8 S 2.96-3.07
70 Sc 0.0000 0.5000 0.0000  6 S 2.59
71 Ca 0.3750 0.7500 0.6250  8 S 2.96-3.07
72 S 0.5830 0.9635 0.6774  2 Sc 2.42-2.59
73 S 0.9056 0.8226 0.7861  2 Sc 2.42-2.59
74 Sc 0.5000 0.5000 0.5000  6 S 2.59
75 S 0.5830 0.6195 0.4056  2 Sc 2.42-2.59
76 S 0.4635 0.6774 0.0830  2 Sc 2.42-2.59
77 S 0.0944 0.1774 0.2139  2 Sc 2.42-2.59
78 S 0.3226 0.5365 0.4170  2 Sc 2.42-2.59
79 S 0.6195 0.5830 0.9056  2 Sc 2.42-2.59
80 S 0.2139 0.6774 0.0944  2 Sc 2.42-2.59

First-principles (PBE-GGA) data for crystalline Ca2ScS3 at its relaxed geometry, as listed in Alexandria.

## Properties
- Formation energy (no corrections): -2.016 eV per atom
- SG: Fddd, No. 70
- Magnetization: 0.000 μB per formula unit
- Raw total energy: -139.2 eV/cell

a b c (Å): 6.7705 6.7705 12.3182
angles (deg): 100.58 100.58 109.37
Closest atoms and distances in Å follow each position.
Sites, in units of the cell vectors:
1 Ca 0.7485 0.7485 0.4970  6 S 2.77-2.83
2 Ca 0.9985 0.4985 0.9970  6 S 2.77-2.83
3 S 0.9295 0.9141 0.3276  2 Sc 2.67-2.68, 4 Ca 2.78-2.85
4 S 0.5864 0.6019 0.6724  2 Sc 2.67-2.68, 4 Ca 2.78-2.85
5 S 0.0159 0.5159 0.5000  2 Sc 2.67, 4 Ca 2.77-2.83
6 S 0.3981 0.4136 0.3276  2 Sc 2.67-2.68, 4 Ca 2.78-2.85
7 S 0.0859 0.0705 0.6724  2 Sc 2.67-2.68, 4 Ca 2.78-2.85
8 Ca 0.5015 0.0015 0.0030  6 S 2.77-2.83
9 S 0.4841 0.9841 0.5000  2 Sc 2.67, 4 Ca 2.77-2.83
10 Ca 0.6679 0.1679 0.3358  6 S 2.78-2.85
11 Ca 0.5821 0.5821 0.1642  6 S 2.78-2.85
12 Sc 0.1668 0.6668 0.3335  6 S 2.67-2.68
13 Sc 0.0832 0.0832 0.1665  6 S 2.67-2.68
14 Ca 0.8321 0.3321 0.6642  6 S 2.78-2.85
15 Sc 0.9168 0.9168 0.8335  6 S 2.67-2.68
16 S 0.1641 0.6795 0.8276  2 Sc 2.67-2.68, 4 Ca 2.78-2.85
17 S 0.7659 0.7659 0.0000  2 Sc 2.67, 4 Ca 2.77-2.83
18 Sc 0.3332 0.8332 0.6665  6 S 2.67-2.68
19 S 0.6636 0.1481 0.8276  2 Sc 2.67-2.68, 4 Ca 2.78-2.85
20 Ca 0.2515 0.2515 0.5030  6 S 2.77-2.83
21 S 0.8519 0.3364 0.1724  2 Sc 2.67-2.68, 4 Ca 2.78-2.85
22 S 0.3205 0.8359 0.1724  2 Sc 2.67-2.68, 4 Ca 2.78-2.85
23 Ca 0.4179 0.4179 0.8358  6 S 2.78-2.85
24 S 0.2341 0.2341 0.0000  2 Sc 2.67, 4 Ca 2.77-2.83

First-principles (PBE-GGA) data for crystalline CaSc2S at its relaxed geometry, as listed in Alexandria.

## Properties
- Formation energy (no corrections): -0.572 eV per atom
- SG: I-42d, No. 122
- Magnetization: 1.682 μB per formula unit
- Raw total energy: -42.2 eV/cell

a b c (Å): 8.5173 8.5173 6.6627
angles (deg): 50.27 50.27 90.00
Closest atoms and distances in Å follow each position.
Sites, in units of the cell vectors:
1 Sc 0.5222 0.1250 0.2500  2 S 2.57
2 Sc 0.8750 0.7722 0.7500  2 S 2.57
3 S 0.2500 0.7500 0.5000  4 Sc 2.57, 2 Ca 2.85
4 S 0.5000 0.5000 0.0000  4 Sc 2.57, 2 Ca 2.85
5 Ca 0.7500 0.2500 0.5000  2 S 2.85
6 Sc 0.3750 0.4778 0.7500  2 S 2.57
7 Sc 0.2278 0.6250 0.2500  2 S 2.57
8 Ca 0.0000 0.0000 0.0000  2 S 2.85

First-principles (PBE-GGA) data for crystalline CaSc2S at its relaxed geometry, as listed in Alexandria.

## Properties
- Formation energy (no corrections): -0.168 eV per atom
- SG: R-3m, No. 166
- Magnetization: 0.548 μB per formula unit
- Raw total energy: -19.5 eV/cell

a b c (Å): 10.6330 10.6330 10.6330
angles (deg): 19.89 19.89 19.89
Closest atoms and distances in Å follow each position.
Sites, in units of the cell vectors:
1 S 0.0000 0.0000 0.0000  2 Sc 2.32
2 Sc 0.9258 0.9258 0.9258  1 S 2.32
3 Sc 0.0742 0.0742 0.0742  1 S 2.32
4 Ca 0.5000 0.5000 0.5000  6 Sc 3.58, 6 Ca 3.67

- What is the raw total energy in the second record?
  -33.7 eV/cell

- Which of these has the lowest formation energy (no corrections)?
  Ca3ScS4

Please write out number 4 again, unchanged.
First-principles (PBE-GGA) data for crystalline Ca3ScS4 at its relaxed geometry, as listed in Alexandria.

## Properties
- Formation energy (no corrections): -2.039 eV per atom
- SG: Cmmm, No. 65
- Magnetization: 0.000 μB per formula unit
- Raw total energy: -45.2 eV/cell

a b c (Å): 3.9217 6.8283 6.8283
angles (deg): 109.25 90.00 90.00
Closest atoms and distances in Å follow each position.
Sites, in units of the cell vectors:
1 Ca 0.0000 0.0000 0.5000  6 S 2.79
2 S 0.5000 0.7585 0.2415  1 Sc 2.69, 5 Ca 2.79-2.88
3 S 0.5000 0.2415 0.7585  1 Sc 2.69, 5 Ca 2.79-2.88
4 S 0.0000 0.7646 0.7646  2 Sc 2.70, 4 Ca 2.79-2.87
5 S 0.0000 0.2354 0.2354  2 Sc 2.70, 4 Ca 2.79-2.87
6 Sc 0.5000 0.0000 0.0000  6 S 2.69-2.70
7 Ca 0.5000 0.5000 0.5000  6 S 2.87-2.88
8 Ca 0.0000 0.5000 0.0000  6 S 2.79

- The lowest formation energy (no corrections) belongs to which entry?
  Ca3ScS4